The following is a PBEsol calculation of a geometry-optimized CdAs2PbBr structure, from the Alexandria database.

Cell lengths 5.3895, 5.3895, 5.5556 Å; angles 90.00, 90.00, 90.00 degrees
Last column: nearest neighbours and their distance in Å.
Sites, in units of the cell vectors:
Pb 0.0000 0.0000 0.0000  4 As 2.69, 2 Br 2.78
As 0.5000 0.0000 0.0000  2 Pb 2.69
As 0.0000 0.5000 0.0000  2 Pb 2.69
Br 0.0000 0.0000 0.5000  2 Pb 2.78
Cd 0.5000 0.5000 0.5000  4 Br 3.81, 8 As 3.87

Properties
**Raw formation energy**: 0.731 eV per atom